# 1
Below is a relaxed TbAlNi4 crystal, with properties calculated at the GGA-PBEsol level.

```
TbAlNi4
1.0
3.971 0.000 0.000
0.000 4.838 -0.013
0.000 -2.308 4.252
Ni Tb Al
4 1 1
direct
0.000 0.170 0.830
0.000 0.830 0.170
0.500 0.000 0.500
0.500 0.500 0.000
0.000 0.500 0.500
0.500 0.000 0.000
```

The calculated formation energy comes out at -0.526 eV/atom. As for the final energy: -6.148 eV/atom.

# 2
Below is a relaxed TbAl3Ni2 crystal, with properties calculated at the GGA-PBEsol level.

```
TbAl3Ni2
1.0
-0.043 -1.937 -3.443
2.202 -4.131 2.296
-5.194 0.425 -0.174
Ni Tb Al
2 1 3
direct
0.000 0.333 0.667
0.000 0.667 0.333
0.000 0.000 0.000
0.500 0.500 0.000
0.500 0.000 0.500
0.500 0.500 0.500
```

The calculated formation energy comes out at -0.633 eV/atom. As for the final energy: -5.567 eV/atom.

# 3
Below is a relaxed Tb2AlNi2 crystal, with properties calculated at the GGA-PBEsol level.

```
Tb2AlNi2
1.0
4.160 0.000 0.000
2.080 4.879 -0.010
2.080 1.998 4.451
Ni Tb Al
2 2 1
direct
0.500 0.266 0.734
0.500 0.734 0.266
0.797 0.703 0.703
0.203 0.297 0.297
0.000 0.000 0.000
```

The calculated formation energy comes out at -0.533 eV/atom. As for the final energy: -5.818 eV/atom.

# 4
Below is a relaxed AlTcNi crystal, with properties calculated at the GGA-PBEsol level.

```
AlTcNi
1.0
2.633 0.000 0.000
0.000 2.633 0.000
-1.317 -1.317 5.452
Ni Tc Al
1 1 1
direct
0.336 0.336 0.672
0.673 0.673 0.346
0.991 0.991 0.982
```

The calculated formation energy comes out at -0.261 eV/atom. As for the final energy: -7.433 eV/atom. As for the energy above the most stable polymorph in this dataset: 0.000 eV/atom.

# 5
Below is a relaxed AlTcNi crystal, with properties calculated at the GGA-PBEsol level.

```
AlTcNi
1.0
-2.779 2.751 -0.566
-2.474 -0.293 -3.067
-3.804 -0.881 0.607
Ni Tc Al
1 1 1
direct
0.250 0.250 0.250
0.000 0.000 0.000
0.500 0.500 0.500
```

The calculated formation energy comes out at 0.095 eV/atom. As for the final energy: -7.077 eV/atom. As for the energy above the most stable polymorph in this dataset: 0.355 eV/atom.

# 6
Below is a relaxed AlNiTe3 crystal, with properties calculated at the GGA-PBEsol level.

```
AlNiTe3
1.0
-1.724 3.342 -3.299
3.039 -1.885 -3.498
-3.580 -3.210 -1.381
Ni Te Al
1 3 1
direct
0.000 0.000 0.000
0.000 0.500 0.000
0.000 0.000 0.500
0.500 0.000 0.000
0.500 0.500 0.500
```

As for the final energy: -3.832 eV/atom. The raw formation energy comes out at 0.333 eV/atom.

# 7
Below is a relaxed AlNiTe crystal, with properties calculated at the GGA-PBEsol level.

```
AlNiTe
1.0
-0.834 -3.558 -2.191
1.907 -0.691 -3.747
2.973 -3.032 -0.351
Ni Te Al
1 1 1
direct
0.250 0.250 0.250
0.000 0.000 0.000
0.500 0.500 0.500
```

As for the final energy: -4.777 eV/atom. The raw formation energy comes out at -0.185 eV/atom.

# 8
Below is a relaxed Al2NiTe crystal, with properties calculated at the GGA-PBEsol level.

```
Al2NiTe
1.0
-0.889 2.690 -0.822
-2.441 -1.166 -1.176
-3.784 0.881 6.980
Ni Te Al
1 1 2
direct
0.500 0.500 0.000
0.500 0.500 0.500
0.000 0.000 0.827
0.000 0.000 0.173
```

As for the final energy: -4.554 eV/atom. The raw formation energy comes out at -0.087 eV/atom.